(1)
TiTl2InF8 | the Alexandria database | GGA-PBE | optimized geometry; total DFT energy (no corrections) = -4.837 eV per atom; crystal system = trigonal
1.0
-4.901 -0.668 -2.844
1.672 -3.945 3.768
-3.972 3.965 5.914
Ti Tl In F
1 2 1 8
Cartesian
0.000 0.000 0.000 Ti
-3.480 -0.992 0.506 Tl
-3.721 0.344 6.331 Tl
-1.986 1.982 2.957 In
-6.415 0.129 5.300 F
-4.682 2.605 4.805 F
-7.312 2.246 3.278 F
-0.786 -0.777 1.537 F
-2.519 -3.252 2.033 F
0.111 -2.894 3.559 F
-4.570 0.097 2.129 F
-2.631 -0.745 4.708 F

---

(2)
SmYZnNi | the Alexandria database | GGA-PBE | optimized geometry; total DFT energy (no corrections) = -4.890 eV per atom; crystal system = orthorhombic
1.0
-2.603 -2.315 1.633
0.124 -2.654 -3.564
5.190 -1.647 1.408
Sm Y Zn Ni
1 1 1 1
Cartesian
1.088 -0.785 0.623 Sm
1.546 -4.493 0.628 Y
-0.718 -2.860 -0.667 Zn
3.382 -2.439 1.934 Ni

---

(3)
GdYBe | the Alexandria database | GGA-PBE | optimized geometry; total DFT energy (no corrections) = -8.004 eV per atom; crystal system = tetragonal
1.0
-1.886 2.807 0.832
-0.116 -1.061 3.316
6.095 2.205 -0.911
Y Be Gd
1 1 1
Cartesian
3.062 1.851 0.699 Y
0.713 1.909 2.465 Be
0.317 0.192 0.072 Gd

---

(4)
Mo2RhSe | the Alexandria database | GGA-PBE | optimized geometry; total DFT energy (no corrections) = -7.970 eV per atom; crystal system = monoclinic
1.0
4.094 0.000 0.000
0.000 2.908 0.000
0.000 1.590 5.222
Mo Rh Se
2 1 1
Cartesian
0.000 4.273 5.206 Mo
0.000 2.473 2.627 Mo
2.047 1.124 1.305 Rh
2.047 3.373 3.916 Se

---

(5)
Lu3Ga | the Alexandria database | GGA-PBE | optimized geometry; total DFT energy (no corrections) = -4.383 eV per atom; crystal system = hexagonal
1.0
3.296 -5.708 0.000
3.296 5.708 0.000
0.000 0.000 5.245
Lu Ga
6 2
Cartesian
1.703 0.983 1.311 Lu
4.889 0.983 1.311 Lu
3.296 3.742 1.311 Lu
4.889 -0.983 3.934 Lu
1.703 -0.983 3.934 Lu
3.296 -3.742 3.934 Lu
3.296 1.903 3.934 Ga
3.296 -1.903 1.311 Ga

---

(6)
Cs2BaPb2S4 | the Alexandria database | GGA-PBE | optimized geometry; total DFT energy (no corrections) = -4.129 eV per atom; crystal system = monoclinic
1.0
-3.087 2.164 2.172
-4.681 -2.949 -8.074
0.560 -5.894 6.670
Cs Ba Pb S
2 1 2 4
Cartesian
-6.027 -3.038 -1.181 Cs
-1.181 -3.640 1.949 Cs
0.000 0.000 0.000 Ba
-3.388 -6.874 2.035 Pb
-3.820 0.196 -1.268 Pb
-5.042 -4.650 1.826 S
-2.166 -2.028 -1.058 S
-5.616 -2.973 -5.021 S
-1.592 -3.705 5.789 S